# 1
Computed, not measured: Tb2Sm5Mg5 after structural relaxation at the PBE level of DFT.

Output
Volume, Å³/atom: 29.3
DFT formation energy, eV/atom: -0.04
Space group: No. 12

Cell and atoms, written as POSCAR:
```
Tb2Sm5Mg5
1.0
8.549 -1.843 0.000
8.549 1.843 0.000
-5.088 0.000 11.165
Tb Sm Mg
2 5 5
Cartesian
0.693 0.000 2.899
11.318 0.000 8.266
3.256 0.000 5.289
6.215 0.000 2.847
8.549 0.000 0.000
5.795 0.000 8.318
8.755 0.000 5.876
-2.544 0.000 5.582
2.939 0.000 0.002
0.023 0.000 8.726
11.987 0.000 2.438
9.071 0.000 11.163
```

# 2
Computed, not measured: Tb4Sm5Mg after structural relaxation at the PBE level of DFT.

Output
Volume, Å³/atom: 33.1
DFT formation energy, eV/atom: 0.20
Space group: No. 107

Cell and atoms, written as POSCAR:
```
Tb4Sm5Mg
1.0
-5.316 5.316 2.929
5.316 -5.316 2.929
5.316 5.316 -2.929
Tb Sm Mg
4 5 1
Cartesian
3.418 0.000 0.000
7.213 0.000 0.000
0.000 3.418 0.000
0.000 7.213 0.000
3.336 3.336 0.064
1.979 -1.979 2.993
-1.979 1.979 2.993
1.979 1.979 2.993
0.000 0.000 4.662
0.000 0.000 1.585
```

# 3
Computed, not measured: Tb4Sm8Mg after structural relaxation at the PBE level of DFT.

Output
Volume, Å³/atom: 33.7
DFT formation energy, eV/atom: 0.18
Space group: No. 166

Cell and atoms, written as POSCAR:
```
Tb4Sm8Mg
1.0
3.590 2.073 9.819
-3.590 2.073 9.819
0.000 -4.145 9.819
Tb Sm Mg
4 8 1
Cartesian
0.000 0.000 0.000
-1.795 -1.036 9.819
-1.795 1.036 19.637
0.000 2.073 9.819
0.000 0.000 6.340
-1.877 -1.084 16.833
0.000 -2.168 12.622
-1.877 1.084 12.622
1.877 -1.084 16.833
0.000 2.168 16.833
1.877 1.084 12.622
0.000 0.000 23.116
0.000 0.000 14.728
```

E: -3.44; -4.17; -4.28 (eV/atom)